# 1
A plane-wave DFT calculation with GGA-PBE was carried out for an optimized crystal structure of Sm2HfP.

Output
Calculated formation energy, eV per formula unit: -0.5
Calculated total energy, eV for the cell shown: -75.944
Volume, Å³ per cell: 347.6
Magnetic moment, μB per cell: 3.62

CIF file:
```
data_Sm2HfP
_cell_length_a 3.6990
_cell_length_b 3.6990
_cell_length_c 29.3317
_cell_angle_alpha 90.00
_cell_angle_beta 90.00
_cell_angle_gamma 120.00
_symmetry_space_group_name_H-M 'R -3 m'
_symmetry_Int_Tables_number 166
_symmetry_space_group_name_Hall '-R 3 2"'
loop_
_atom_site_label
_atom_site_fract_x
_atom_site_fract_y
_atom_site_fract_z
_atom_site_occupancy
Sm1 0.0000 0.0000 0.1078 1
Hf1 0.0000 0.0000 0.0000 1
P1 0.0000 0.0000 0.5000 1
```

# 2
A plane-wave DFT calculation with GGA-PBE was carried out for an optimized crystal structure of Sm5Si2Ge.

Output
Calculated total energy, eV for the cell shown: -177.164
Volume, Å³ per cell: 828.7
Magnetic moment, μB per cell: 2.11
Raw formation energy, eV/atom: -0.654

CIF file:
```
data_Sm5Si2Ge
_cell_length_a 7.7196
_cell_length_b 7.7196
_cell_length_c 13.9066
_cell_angle_alpha 90.00
_cell_angle_beta 90.00
_cell_angle_gamma 90.00
_symmetry_space_group_name_H-M 'I 4/m c m'
_symmetry_Int_Tables_number 140
_symmetry_space_group_name_Hall '-I 4 2c'
loop_
_atom_site_label
_atom_site_fract_x
_atom_site_fract_y
_atom_site_fract_z
_atom_site_occupancy
Sm1 0.0000 0.0000 0.0000 1
Sm2 0.1749 0.3251 0.1442 1
Si1 0.1189 0.3811 0.5000 1
Ge1 0.0000 0.0000 0.2500 1
```

# 3
A plane-wave DFT calculation with GGA-PBE was carried out for an optimized crystal structure of CsTlSn.

Output
Calculated formation energy, eV per formula unit: -0.4
Calculated total energy, eV for the cell shown: -30.367
Volume, Å³ per cell: 535.7
Magnetic moment, μB per cell: 0.00

CIF file:
```
data_CsTlSn
_cell_length_a 7.9213
_cell_length_b 7.9270
_cell_length_c 9.4022
_cell_angle_alpha 90.00
_cell_angle_beta 114.84
_cell_angle_gamma 90.00
_symmetry_space_group_name_H-M 'C 1 2 1'
_symmetry_Int_Tables_number 5
_symmetry_space_group_name_Hall 'C 2y'
loop_
_atom_site_label
_atom_site_fract_x
_atom_site_fract_y
_atom_site_fract_z
_atom_site_occupancy
Cs1 0.1718 0.0000 0.3441 1
Tl1 0.2496 0.2497 0.0001 1
Sn1 0.0883 0.5006 0.1784 1
```

# 4
A plane-wave DFT calculation with GGA-PBE was carried out for an optimized crystal structure of SiSb2Br.

Output
Calculated total energy, eV for the cell shown: -13.305
Volume, Å³ per cell: 106.3
Magnetic moment, μB per cell: 0.00
Raw formation energy, eV/atom: 0.509

CIF file:
```
data_SiSb2Br
_cell_length_a 4.2242
_cell_length_b 4.2242
_cell_length_c 5.9591
_cell_angle_alpha 90.00
_cell_angle_beta 90.00
_cell_angle_gamma 90.00
_symmetry_space_group_name_H-M 'P 4/m m m'
_symmetry_Int_Tables_number 123
_symmetry_space_group_name_Hall '-P 4 2'
loop_
_atom_site_label
_atom_site_fract_x
_atom_site_fract_y
_atom_site_fract_z
_atom_site_occupancy
Si1 0.0000 0.0000 0.0000 1
Sb1 0.0000 0.5000 0.5000 1
Br1 0.5000 0.5000 0.0000 1
```

# 5
A plane-wave DFT calculation with GGA-PBE was carried out for an optimized crystal structure of Ce2Ho2Bi2C.

Output
Calculated formation energy, eV per formula unit: -4.5
Calculated total energy, eV for the cell shown: -84.933
Volume, Å³ per cell: 388.9
Magnetic moment, μB per cell: 6.85

CIF file:
```
data_Ce2Ho2Bi2C
_cell_length_a 4.8600
_cell_length_b 4.8600
_cell_length_c 16.4650
_cell_angle_alpha 90.00
_cell_angle_beta 90.00
_cell_angle_gamma 90.00
_symmetry_space_group_name_H-M 'I 4/m m m'
_symmetry_Int_Tables_number 139
_symmetry_space_group_name_Hall '-I 4 2'
loop_
_atom_site_label
_atom_site_fract_x
_atom_site_fract_y
_atom_site_fract_z
_atom_site_occupancy
Ce1 0.0000 0.0000 0.1572 1
Ho1 0.0000 0.5000 0.0000 1
Bi1 0.0000 0.0000 0.3620 1
C1 0.0000 0.0000 0.0000 1
```

# 6
A plane-wave DFT calculation with GGA-PBE was carried out for an optimized crystal structure of ErLuMgAg.

Output
Calculated formation energy, eV per formula unit: -0.6
Calculated total energy, eV for the cell shown: -56.440
Volume, Å³ per cell: 392.3
Magnetic moment, μB per cell: 0.00

CIF file:
```
data_ErLuMgAg
_cell_length_a 7.3202
_cell_length_b 7.3202
_cell_length_c 7.3202
_cell_angle_alpha 90.00
_cell_angle_beta 90.00
_cell_angle_gamma 90.00
_symmetry_space_group_name_H-M 'F -4 3 m'
_symmetry_Int_Tables_number 216
_symmetry_space_group_name_Hall 'F -4 2 3'
loop_
_atom_site_label
_atom_site_fract_x
_atom_site_fract_y
_atom_site_fract_z
_atom_site_occupancy
Er1 0.0000 0.0000 0.0000 1
Lu1 0.0000 0.0000 0.5000 1
Mg1 0.2500 0.2500 0.7500 1
Ag1 0.2500 0.2500 0.2500 1
```

# 7
A plane-wave DFT calculation with GGA-PBE was carried out for an optimized crystal structure of HfCoGe3.

Output
Calculated formation energy, eV per formula unit: 1.7
Calculated total energy, eV for the cell shown: -29.198
Volume, Å³ per cell: 92.9
Magnetic moment, μB per cell: 0.47

CIF file:
```
data_HfCoGe3
_cell_length_a 4.5290
_cell_length_b 4.5290
_cell_length_c 4.5290
_cell_angle_alpha 90.00
_cell_angle_beta 90.00
_cell_angle_gamma 90.00
_symmetry_space_group_name_H-M 'P m -3 m'
_symmetry_Int_Tables_number 221
_symmetry_space_group_name_Hall '-P 4 2 3'
loop_
_atom_site_label
_atom_site_fract_x
_atom_site_fract_y
_atom_site_fract_z
_atom_site_occupancy
Hf1 0.0000 0.0000 0.0000 1
Co1 0.5000 0.5000 0.5000 1
Ge1 0.0000 0.5000 0.5000 1
```

# 8
A plane-wave DFT calculation with GGA-PBE was carried out for an optimized crystal structure of ScTl2Pt.

Output
Calculated formation energy, eV per formula unit: -1.3
Calculated total energy, eV for the cell shown: -55.166
Volume, Å³ per cell: 302.7
Magnetic moment, μB per cell: 0.00

CIF file:
```
data_ScTl2Pt
_cell_length_a 3.6537
_cell_length_b 3.6537
_cell_length_c 26.1818
_cell_angle_alpha 90.00
_cell_angle_beta 90.00
_cell_angle_gamma 120.00
_symmetry_space_group_name_H-M 'R 3 m'
_symmetry_Int_Tables_number 160
_symmetry_space_group_name_Hall 'R 3 -2"'
loop_
_atom_site_label
_atom_site_fract_x
_atom_site_fract_y
_atom_site_fract_z
_atom_site_occupancy
Sc1 0.0000 0.0000 0.0000 1
Tl1 0.0000 0.0000 0.2381 1
Tl2 0.0000 0.0000 0.4726 1
Pt1 0.0000 0.0000 0.7242 1
```

Question: Number 4 is which compound?
Answer: SiSb2Br